Compound: CaWC3
Source: Alexandria
Functional: PBE-GGA
Structure: optimized geometry

Structure (POSCAR):
```
CaWC3
1.0
4.1278 0.0000 0.0000
0.0000 4.1278 0.0000
0.0000 0.0000 4.1278
Ca W C
1 1 3
direct
0.0000 0.0000 0.0000 Ca
0.5000 0.5000 0.5000 W
0.0000 0.5000 0.5000 C
0.5000 0.0000 0.5000 C
0.5000 0.5000 0.0000 C
```

## Properties
D(E_F)	3.7	states/eV per cell
distance to the lowest polymorph of the same formula	0	meV per atom
formation energy from the elements	929.0	meV per atom
E_tot	-37.981	eV per cell
calculated volume	14.07	Å³/atom
symmetry	No. 221

---

Compound: Ca2YC
Source: Alexandria
Functional: PBE-GGA
Structure: optimized geometry

Structure (POSCAR):
```
Ca2YC
1.0
-4.7998 4.7998 2.4318
4.7998 -4.7998 2.4318
4.7998 4.7998 -2.4318
Ca Y C
4 2 2
direct
0.3750 0.0271 0.1521 Ca
0.7771 0.6250 0.6521 Ca
0.8750 0.2229 0.8479 Ca
0.9729 0.1250 0.3479 Ca
0.2500 0.7500 0.5000 Y
0.5000 0.5000 0.0000 Y
0.0000 0.0000 0.0000 C
0.7500 0.2500 0.5000 C
```

## Properties
D(E_F)	11.1	states/eV per cell
formation energy from the elements	366.0	meV per atom
E_tot	-36.454	eV per cell
calculated volume	28.01	Å³/atom
symmetry	No. 122

---

Compound: Ca2Y4C
Source: Alexandria
Functional: PBE-GGA
Structure: optimized geometry

Structure (POSCAR):
```
Ca2Y4C
1.0
-2.4783 2.4783 9.4501
2.4783 -2.4783 9.4501
2.4783 2.4783 -9.4501
Ca Y C
2 4 1
direct
0.1742 0.1742 0.0000 Ca
0.8258 0.8258 0.0000 Ca
0.0000 0.5000 0.5000 Y
0.3743 0.3743 0.0000 Y
0.5000 0.0000 0.5000 Y
0.6257 0.6257 0.0000 Y
0.5000 0.5000 0.0000 C
```

## Properties
D(E_F)	12.7	states/eV per cell
formation energy from the elements	92.6	meV per atom
E_tot	-38.435	eV per cell
calculated volume	33.17	Å³/atom
symmetry	No. 139

---

Compound: CaYC
Source: Alexandria
Functional: PBE-GGA
Structure: optimized geometry

Structure (POSCAR):
```
CaYC
1.0
6.8228 0.0000 0.0000
0.0000 7.3642 0.0000
-2.1665 0.0000 6.0981
Ca Y C
4 4 4
direct
0.2183 0.1234 0.0001 Ca
0.2183 0.3766 0.5001 Ca
0.7817 0.6234 0.4999 Ca
0.7817 0.8766 0.9999 Ca
0.1880 0.6272 0.9711 Y
0.1880 0.8728 0.4711 Y
0.8120 0.1272 0.5289 Y
0.8120 0.3728 0.0289 Y
0.0123 0.6258 0.2321 C
0.0123 0.8742 0.7321 C
0.9877 0.1258 0.2679 C
0.9877 0.3742 0.7679 C
```

## Properties
D(E_F)	5.9	states/eV per cell
formation energy from the elements	-42.5	meV per atom
E_tot	-71.268	eV per cell
calculated volume	25.53	Å³/atom
symmetry	No. 14

---

Compound: Ca2Y2C
Source: Alexandria
Functional: PBE-GGA
Structure: optimized geometry

Structure (POSCAR):
```
Ca2Y2C
1.0
-2.0206 2.0206 9.4594
2.0206 -2.0206 9.4594
2.0206 2.0206 -9.4594
Ca Y C
2 2 1
direct
0.0793 0.0793 0.0000 Ca
0.9207 0.9207 0.0000 Ca
0.2500 0.7500 0.5000 Y
0.7500 0.2500 0.5000 Y
0.5000 0.5000 0.0000 C
```

## Properties
D(E_F)	4.8	states/eV per cell
distance to the lowest polymorph of the same formula	484	meV per atom
formation energy from the elements	1225.3	meV per atom
E_tot	-20.028	eV per cell
calculated volume	30.90	Å³/atom
symmetry	No. 139

---

Compound: Ca2Y2C
Source: Alexandria
Functional: PBE-GGA
Structure: optimized geometry

Structure (POSCAR):
```
Ca2Y2C
1.0
6.8775 0.0000 0.0000
0.0000 6.8775 0.0000
0.0000 0.0000 6.2456
Ca Y C
4 4 2
direct
0.1777 0.3223 0.0000 Ca
0.3223 0.8223 0.0000 Ca
0.6777 0.1777 0.0000 Ca
0.8223 0.6777 0.0000 Ca
0.1653 0.6653 0.5000 Y
0.3347 0.1653 0.5000 Y
0.6653 0.8347 0.5000 Y
0.8347 0.3347 0.5000 Y
0.0000 0.0000 0.0000 C
0.5000 0.5000 0.0000 C
```

## Properties
D(E_F)	14.4	states/eV per cell
distance to the lowest polymorph of the same formula	0	meV per atom
formation energy from the elements	741.3	meV per atom
E_tot	-44.897	eV per cell
calculated volume	29.54	Å³/atom
symmetry	No. 127

---

Compound: CaYZrC2
Source: Alexandria
Functional: PBE-GGA
Structure: optimized geometry

Structure (POSCAR):
```
CaYZrC2
1.0
4.5794 0.0000 0.0000
0.0000 4.5794 0.0000
0.0000 0.0000 4.7793
Ca Y Zr C
1 1 1 2
direct
0.0000 0.0000 0.0000 Ca
0.5000 0.5000 0.5000 Y
0.0000 0.0000 0.5000 Zr
0.0000 0.5000 0.0000 C
0.5000 0.0000 0.0000 C
```

## Properties
D(E_F)	5.2	states/eV per cell
formation energy from the elements	2239.0	meV per atom
E_tot	-24.267	eV per cell
calculated volume	20.05	Å³/atom
symmetry	No. 123

---

Compound: Ca3ZnC
Source: Alexandria
Functional: PBE-GGA
Structure: optimized geometry

Structure (POSCAR):
```
Ca3ZnC
1.0
5.0732 0.0000 0.0000
0.0000 5.0732 0.0000
0.0000 0.0000 5.0732
Ca Zn C
3 1 1
direct
0.0000 0.0000 0.5000 Ca
0.0000 0.5000 0.0000 Ca
0.5000 0.0000 0.0000 Ca
0.5000 0.5000 0.5000 Zn
0.0000 0.0000 0.0000 C
```

## Properties
D(E_F)	4.2	states/eV per cell
distance to the lowest polymorph of the same formula	0	meV per atom
formation energy from the elements	132.9	meV per atom
E_tot	-15.838	eV per cell
calculated volume	26.11	Å³/atom
symmetry	No. 221

---

Compound: Ca2ZnC
Source: Alexandria
Functional: PBE-GGA
Structure: optimized geometry

Structure (POSCAR):
```
Ca2ZnC
1.0
-3.7189 3.7189 3.5319
3.7189 -3.7189 3.5319
3.7189 3.7189 -3.5319
Ca Zn C
4 2 2
direct
0.0408 0.6250 0.9158 Ca
0.3750 0.2908 0.4158 Ca
0.7092 0.1250 0.0842 Ca
0.8750 0.9592 0.5842 Ca
0.2500 0.7500 0.5000 Zn
0.5000 0.5000 0.0000 Zn
0.0000 0.0000 0.0000 C
0.7500 0.2500 0.5000 C
```

## Properties
D(E_F)	0.1	states/eV per cell
distance to the lowest polymorph of the same formula	8	meV per atom
formation energy from the elements	509.5	meV per atom
E_tot	-24.926	eV per cell
calculated volume	24.42	Å³/atom
symmetry	No. 122

---

Compound: CaZnC
Source: Alexandria
Functional: PBE-GGA
Structure: optimized geometry

Structure (POSCAR):
```
CaZnC
1.0
3.9318 0.0000 0.0000
-1.8904 3.8080 0.0000
-0.0150 -2.1217 7.9293
Ca Zn C
2 2 2
direct
0.0821 0.1694 0.3026 Ca
0.9179 0.8306 0.6974 Ca
0.3360 0.6789 0.9913 Zn
0.6640 0.3211 0.0087 Zn
0.4119 0.8330 0.4594 C
0.5881 0.1670 0.5406 C
```

## Properties
D(E_F)	3.4	states/eV per cell
formation energy from the elements	-53.1	meV per atom
E_tot	-25.317	eV per cell
calculated volume	19.79	Å³/atom
symmetry	No. 2

---

Compound: Ca2ZnC
Source: Alexandria
Functional: PBE-GGA
Structure: optimized geometry

Structure (POSCAR):
```
Ca2ZnC
1.0
0.0000 3.3822 3.3822
3.3822 0.0000 3.3822
3.3822 3.3822 0.0000
Ca Zn C
2 1 1
direct
0.2500 0.2500 0.2500 Ca
0.7500 0.7500 0.7500 Ca
0.0000 0.0000 0.0000 Zn
0.5000 0.5000 0.5000 C
```

## Properties
D(E_F)	0.1	states/eV per cell
distance to the lowest polymorph of the same formula	0	meV per atom
formation energy from the elements	501.8	meV per atom
E_tot	-12.494	eV per cell
calculated volume	19.34	Å³/atom
symmetry	No. 225

---

Compound: CaZnC3
Source: Alexandria
Functional: PBE-GGA
Structure: optimized geometry

Structure (POSCAR):
```
CaZnC3
1.0
4.0543 0.0000 0.0000
0.0000 4.0543 0.0000
0.0000 0.0000 4.0543
Ca Zn C
1 1 3
direct
0.0000 0.0000 0.0000 Ca
0.5000 0.5000 0.5000 Zn
0.0000 0.5000 0.5000 C
0.5000 0.0000 0.5000 C
0.5000 0.5000 0.0000 C
```

## Properties
D(E_F)	3.9	states/eV per cell
formation energy from the elements	2057.8	meV per atom
E_tot	-20.658	eV per cell
calculated volume	13.33	Å³/atom
symmetry	No. 221

---

Compound: CaZnC
Source: Alexandria
Functional: PBE-GGA
Structure: optimized geometry

Structure (POSCAR):
```
CaZnC
1.0
3.5391 0.0000 0.0000
0.0000 6.7881 0.0000
-0.3814 0.0000 4.7290
Ca Zn C
2 2 2
direct
0.0000 0.0000 0.0000 Ca
0.0000 0.3993 0.5000 Ca
0.5000 0.6369 0.0000 Zn
0.5000 0.8074 0.5000 Zn
0.4329 0.3090 0.1222 C
0.5671 0.3090 0.8778 C
```

## Properties
D(E_F)	1.6	states/eV per cell
formation energy from the elements	52.7	meV per atom
E_tot	-24.682	eV per cell
calculated volume	18.94	Å³/atom
symmetry	No. 3

---

Compound: CaZrZn2C
Source: Alexandria
Functional: PBE-GGA
Structure: optimized geometry

Structure (POSCAR):
```
CaZrZn2C
1.0
4.3553 0.0000 0.0000
0.0000 4.3553 0.0000
0.0000 0.0000 4.7119
Ca Zr Zn C
1 1 2 1
direct
0.0000 0.0000 0.0000 Ca
0.5000 0.5000 0.0000 Zr
0.0000 0.5000 0.5000 Zn
0.5000 0.0000 0.5000 Zn
0.0000 0.0000 0.5000 C
```

## Properties
D(E_F)	2.7	states/eV per cell
formation energy from the elements	714.4	meV per atom
E_tot	-18.750	eV per cell
calculated volume	17.88	Å³/atom
symmetry	No. 123